Record 1
Compound: LiTe2
Source: the Alexandria database
Functional: meta-GGA SCAN
Structure: single point on PBEsol structure Values from VASP.

Results
energy relative to the elements, uncorrected	-0.458	eV/atom
uncorrected energy	-26.089	eV/atom
polymorph energy (0 for the lowest one)	0.19	eV/f.u.
mass density	5.7	g/cm³
spin magnetization	0.00	μB per formula unit

Cell and atoms, written as Quantum ESPRESSO input:
```
&SYSTEM
  ibrav = 0, nat = 3, ntyp = 2
/
ATOMIC_SPECIES
Te 127.60 Te.upf
Li 6.94 Li.upf
ATOMIC_POSITIONS crystal
Te 0.1349 0.1349 0.2697
Te 0.8651 0.8651 0.7303
Li 0.5000 0.5000 0.0000
CELL_PARAMETERS angstrom
-2.3310 0.7097 1.9480
1.2653 -1.8350 2.1826
4.6933 6.6954 0.6788
```

---

Record 2
Compound: Mg2As
Source: the Alexandria database
Functional: meta-GGA SCAN
Structure: single point on PBEsol structure Values from VASP.

Results
calculated formation energy	-176	meV/atom
uncorrected energy	-10.222	eV/atom
mass density	3.4	g/cm³
spin magnetization	0.00	μB per formula unit

Cell and atoms, written as Quantum ESPRESSO input:
```
&SYSTEM
  ibrav = 0, nat = 6, ntyp = 2
/
ATOMIC_SPECIES
As 74.92 As.upf
Mg 24.30 Mg.upf
ATOMIC_POSITIONS crystal
As 0.2500 0.7504 0.2496
As 0.7500 0.2496 0.7504
Mg 0.2500 0.0956 0.5936
Mg 0.7500 0.9044 0.4064
Mg 0.2500 0.4064 0.9044
Mg 0.7500 0.5936 0.0956
CELL_PARAMETERS angstrom
5.2110 0.0000 0.0000
0.0000 5.1504 -0.0010
0.0000 2.5564 4.4712
```

---

Record 3
Compound: LaIn2Au
Source: the Alexandria database
Functional: meta-GGA SCAN
Structure: single point on PBEsol structure Values from VASP.

Results
calculated formation energy	-447	meV/atom
uncorrected energy	-45.206	eV/atom
mass density	8.8	g/cm³
spin magnetization	0.00	μB per formula unit

Cell and atoms, written as Quantum ESPRESSO input:
```
&SYSTEM
  ibrav = 0, nat = 4, ntyp = 3
/
ATOMIC_SPECIES
Au 196.97 Au.upf
In 114.82 In.upf
La 138.91 La.upf
ATOMIC_POSITIONS crystal
Au 0.0000 0.0000 0.0000
In 0.5000 0.0000 0.5000
In 0.0000 0.5000 0.5000
La 0.5000 0.5000 0.0000
CELL_PARAMETERS angstrom
-0.0554 -3.3395 2.6529
3.3861 -1.5939 -2.0462
1.9077 5.3316 3.3776
```

---

Record 4
Compound: IrOs2Pt
Source: the Alexandria database
Functional: meta-GGA SCAN
Structure: single point on PBEsol structure Values from VASP.

Results
calculated formation energy	711	meV/atom
uncorrected energy	-70.552	eV/atom
polymorph energy (0 for the lowest one)	2.54	eV/f.u.
mass density	21.7	g/cm³
spin magnetization	2.32	μB per formula unit

Cell and atoms, written as Quantum ESPRESSO input:
```
&SYSTEM
  ibrav = 0, nat = 4, ntyp = 3
/
ATOMIC_SPECIES
Ir 192.22 Ir.upf
Os 190.23 Os.upf
Pt 195.08 Pt.upf
ATOMIC_POSITIONS crystal
Ir 0.5000 0.5000 0.5000
Os 0.0000 0.0000 0.0000
Os 0.7500 0.7500 0.7500
Pt 0.2500 0.2500 0.2500
CELL_PARAMETERS angstrom
4.3640 0.0000 0.0000
2.1820 3.7794 0.0000
2.1820 1.2598 3.5632
```

---

Record 5
Compound: CaSb2Rh2
Source: the Alexandria database
Functional: meta-GGA SCAN
Structure: single point on PBEsol structure Values from VASP.

Results
energy relative to the elements, uncorrected	-0.715	eV/atom
uncorrected energy	-31.061	eV/atom
mass density	7.7	g/cm³
spin magnetization	0.39	μB per formula unit

Cell and atoms, written as Quantum ESPRESSO input:
```
&SYSTEM
  ibrav = 0, nat = 5, ntyp = 3
/
ATOMIC_SPECIES
Sb 121.76 Sb.upf
Ca 40.08 Ca.upf
Rh 102.91 Rh.upf
ATOMIC_POSITIONS crystal
Sb 0.6279 0.6279 0.2558
Sb 0.3721 0.3721 0.7442
Ca 0.0000 0.0000 0.0000
Rh 0.2500 0.7500 0.5000
Rh 0.7500 0.2500 0.5000
CELL_PARAMETERS angstrom
-3.6174 1.3532 -2.0132
-0.7712 -4.0688 -1.3491
-0.7541 0.3783 6.3205
```

---

Record 6
Compound: CdSi
Source: the Alexandria database
Functional: meta-GGA SCAN
Structure: single point on PBEsol structure Values from VASP.

Results
energy relative to the elements, uncorrected	0.533	eV/atom
uncorrected energy	-19.682	eV/atom
mass density	6.1	g/cm³
spin magnetization	0.00	μB per formula unit

Cell and atoms, written as Quantum ESPRESSO input:
```
&SYSTEM
  ibrav = 0, nat = 4, ntyp = 2
/
ATOMIC_SPECIES
Cd 112.41 Cd.upf
Si 28.09 Si.upf
ATOMIC_POSITIONS crystal
Cd 0.0000 0.6995 0.7500
Cd 0.0000 0.3005 0.2500
Si 0.5000 0.1564 0.7500
Si 0.5000 0.8436 0.2500
CELL_PARAMETERS angstrom
-2.0544 -3.3079 -0.4226
1.1437 -0.1591 -4.3146
3.5546 -2.3389 1.0285
```

---

Record 7
Compound: BeGaH2Pb
Source: the Alexandria database
Functional: meta-GGA SCAN
Structure: single point on PBEsol structure Values from VASP.

Results
uncorrected energy	-19.979	eV/atom
mass density	6.2	g/cm³
spin magnetization	0.00	μB per formula unit

Cell and atoms, written as Quantum ESPRESSO input:
```
&SYSTEM
  ibrav = 0, nat = 5, ntyp = 4
/
ATOMIC_SPECIES
Pb 207.20 Pb.upf
Be 9.01 Be.upf
Ga 69.72 Ga.upf
H 1.01 H.upf
ATOMIC_POSITIONS crystal
Pb 0.0000 0.0000 0.0000
Be 0.0000 0.0000 0.5000
Ga 0.5000 0.5000 0.5000
H 0.0000 0.5000 0.0000
H 0.5000 0.0000 0.0000
CELL_PARAMETERS angstrom
-0.9639 -3.6629 0.5429
0.5458 -0.6954 -3.7227
5.0116 -1.1773 0.9548
```

---

Record 8
Compound: BaCa3Pt
Source: the Alexandria database
Functional: meta-GGA SCAN
Structure: single point on PBEsol structure Values from VASP.

Results
calculated formation energy	-532	meV/atom
uncorrected energy	-28.279	eV/atom
mass density	4.0	g/cm³
spin magnetization	0.15	μB per formula unit

Cell and atoms, written as Quantum ESPRESSO input:
```
&SYSTEM
  ibrav = 0, nat = 5, ntyp = 3
/
ATOMIC_SPECIES
Ca 40.08 Ca.upf
Ba 137.33 Ba.upf
Pt 195.08 Pt.upf
ATOMIC_POSITIONS crystal
Ca 0.8527 0.3527 0.7054
Ca 0.5989 0.5989 0.1979
Ca 0.3527 0.8527 0.7054
Ba 0.1048 0.1048 0.2096
Pt 0.3637 0.3637 0.7274
CELL_PARAMETERS angstrom
5.6674 0.0000 0.0000
0.0000 5.6674 0.0000
-2.8337 -2.8337 5.8568
```

---

Record 9
Compound: Ga2CoO4
Source: the Alexandria database
Functional: meta-GGA SCAN
Structure: single point on PBEsol structure Values from VASP.

Results
energy relative to the elements, uncorrected	-1.839	eV/atom
uncorrected energy	-12.542	eV/atom
polymorph energy (0 for the lowest one)	0.00	eV/f.u.
mass density	6.0	g/cm³
spin magnetization	3.00	μB per formula unit

Cell and atoms, written as Quantum ESPRESSO input:
```
&SYSTEM
  ibrav = 0, nat = 14, ntyp = 3
/
ATOMIC_SPECIES
Ga 69.72 Ga.upf
Co 58.93 Co.upf
O 16.00 O.upf
ATOMIC_POSITIONS crystal
Ga 0.6250 0.6250 0.6250
Ga 0.1250 0.6250 0.6250
Ga 0.6250 0.6250 0.1250
Ga 0.6250 0.1250 0.6250
Co 0.2500 0.2500 0.2500
Co 0.0000 0.0000 0.0000
O 0.8642 0.8642 0.4074
O 0.8426 0.3858 0.3858
O 0.3858 0.3858 0.3858
O 0.3858 0.8426 0.3858
O 0.8642 0.4074 0.8642
O 0.8642 0.8642 0.8642
O 0.3858 0.3858 0.8426
O 0.4074 0.8642 0.8642
CELL_PARAMETERS angstrom
5.8933 0.0000 0.0000
2.9466 5.1037 0.0000
2.9466 1.7012 4.8118
```

---

Record 10
Compound: AlCr2As
Source: the Alexandria database
Functional: meta-GGA SCAN
Structure: single point on PBEsol structure Values from VASP.

Results
calculated formation energy	-13	meV/atom
uncorrected energy	-16.191	eV/atom
polymorph energy (0 for the lowest one)	0.41	eV/f.u.
mass density	6.8	g/cm³
spin magnetization	0.19	μB per formula unit

Cell and atoms, written as Quantum ESPRESSO input:
```
&SYSTEM
  ibrav = 0, nat = 4, ntyp = 3
/
ATOMIC_SPECIES
Cr 52.00 Cr.upf
As 74.92 As.upf
Al 26.98 Al.upf
ATOMIC_POSITIONS crystal
Cr 0.0081 0.0081 0.0163
Cr 0.7355 0.2355 0.4710
As 0.2623 0.7623 0.5247
Al 0.4940 0.4940 0.9880
CELL_PARAMETERS angstrom
3.1845 0.0000 0.0000
0.0000 4.0123 0.0000
-1.5923 -2.0061 3.9595
```

---

Record 11
Compound: Y2MnMo
Source: the Alexandria database
Functional: meta-GGA SCAN
Structure: single point on PBEsol structure Values from VASP.

Results
calculated formation energy	512	meV/atom
uncorrected energy	-26.695	eV/atom
polymorph energy (0 for the lowest one)	1.11	eV/f.u.
mass density	6.6	g/cm³
spin magnetization	3.46	μB per formula unit

Cell and atoms, written as Quantum ESPRESSO input:
```
&SYSTEM
  ibrav = 0, nat = 4, ntyp = 3
/
ATOMIC_SPECIES
Mn 54.94 Mn.upf
Mo 95.94 Mo.upf
Y 88.91 Y.upf
ATOMIC_POSITIONS crystal
Mn 0.0000 0.0000 0.5000
Mo 0.5000 0.0000 0.0000
Y 0.7507 0.5014 0.7509
Y 0.2493 0.4986 0.2491
CELL_PARAMETERS angstrom
-2.6991 0.2152 -1.3112
2.8079 -2.9183 -2.8076
-2.0724 -4.2020 3.5762
```

---

Record 12
Compound: KHg2Au
Source: the Alexandria database
Functional: meta-GGA SCAN
Structure: single point on PBEsol structure Values from VASP.

Results
calculated formation energy	-283	meV/atom
uncorrected energy	-53.737	eV/atom
polymorph energy (0 for the lowest one)	0.00	eV/f.u.
mass density	9.3	g/cm³
spin magnetization	0.00	μB per formula unit

Cell and atoms, written as Quantum ESPRESSO input:
```
&SYSTEM
  ibrav = 0, nat = 4, ntyp = 3
/
ATOMIC_SPECIES
K 39.10 K.upf
Au 196.97 Au.upf
Hg 200.59 Hg.upf
ATOMIC_POSITIONS crystal
K 0.5084 0.5084 0.4747
Au 0.3143 0.3143 0.0571
Hg 0.9635 0.9635 0.1096
Hg 0.7138 0.7138 0.8586
CELL_PARAMETERS angstrom
-4.2682 -1.4876 -1.6272
-2.3698 -3.4830 2.3088
-4.8050 2.2480 3.4573
```